Density functional theory data (PBE-GGA) for an optimized crystal structure of Pu3Pa.

Computed properties:
The space group is Fm-3m. The crystal system is cubic. As for the distance to the lowest polymorph of the same formula: 81 meV/atom. For the magnetic moment, the calculation gives 18.841 μB/cell. The value obtained for the formation energy from the elements is 0.334 eV/atom.

Structure (extended XYZ):
```
4
Lattice="5.2614 0.0000 0.0000 2.6307 4.5565 0.0000 2.6307 1.5188 4.2959" Properties=species:S:1:pos:R:3 pbc="T T T"
Pa 5.2614 3.0377 2.1480
Pu 0.0000 0.0000 0.0000
Pu 7.8921 4.5565 3.2219
Pu 2.6307 1.5188 1.0740
```



Density functional theory data (PBE-GGA) for an optimized crystal structure of Pu3Pa.

Computed properties:
The space group is I4/mmm. The crystal system is tetragonal. As for the distance to the lowest polymorph of the same formula: 0 meV/atom. For the magnetic moment, the calculation gives 14.522 μB/cell. The value obtained for the formation energy from the elements is 0.253 eV/atom.

Structure (extended XYZ):
```
4
Lattice="-3.4092 2.9406 0.7095 -2.9860 -3.1004 -1.4982 2.7136 -1.5057 4.6400" Properties=species:S:1:pos:R:3 pbc="T T T"
Pa 0.0000 0.0000 0.0000
Pu -1.9466 0.6775 2.4776
Pu -1.7350 -2.3430 1.3737
Pu -3.1976 -0.0799 -0.3944
```